Material: DyHoCd2
Method: DFT, PBE
State: relaxed

energy of formation from the pure elements	-0.327	eV/atom

```
data_DyHoCd2
_symmetry_space_group_name_H-M 'F m -3 m'
_symmetry_Int_Tables_number 225
_symmetry_space_group_name_Hall '-F 4 2 3'
_cell_length_a 7.448
_cell_length_b 7.448
_cell_length_c 7.448
_cell_angle_alpha 90.00
_cell_angle_beta 90.00
_cell_angle_gamma 90.00
loop_
_atom_site_label
_atom_site_type_symbol
_atom_site_fract_x
_atom_site_fract_y
_atom_site_fract_z
Dy1 Dy 0.000 0.000 0.000
Ho1 Ho 0.000 0.000 0.500
Cd1 Cd 0.250 0.250 0.250
```



Material: DyHoCd6
Method: DFT, PBE
State: relaxed

energy of formation from the pure elements	-0.285	eV/atom
offset from the most stable computed form	0.0018	eV/atom

```
data_DyHoCd6
_symmetry_space_group_name_H-M 'A m m 2'
_symmetry_Int_Tables_number 38
_cell_length_a 4.835
_cell_length_b 7.146
_cell_length_c 10.700
_cell_angle_alpha 90.00
_cell_angle_beta 90.00
_cell_angle_gamma 90.00
loop_
_symmetry_equiv_pos_as_xyz
'x,y,z'
'-x,-y,z'
'-x,y,z'
'x,-y,z'
'x,y+1/2,z+1/2'
'-x,-y+1/2,z+1/2'
'-x,y+1/2,z+1/2'
'x,-y+1/2,z+1/2'
loop_
_atom_site_label
_atom_site_type_symbol
_atom_site_fract_x
_atom_site_fract_y
_atom_site_fract_z
Dy1 Dy 0.000 0.000 0.000
Ho1 Ho 0.500 0.000 0.266
Cd1 Cd 0.000 0.000 0.456
Cd2 Cd 0.000 0.215 0.729
Cd3 Cd 0.500 0.000 0.809
Cd4 Cd 0.500 0.215 0.537
```



Material: DyHoCd6
Method: DFT, PBE
State: relaxed

energy of formation from the pure elements	-0.273	eV/atom
offset from the most stable computed form	0.0142	eV/atom

```
data_DyHoCd6
_symmetry_space_group_name_H-M 'P 4/m m m'
_symmetry_Int_Tables_number 123
_symmetry_space_group_name_Hall '-P 4 2'
_cell_length_a 5.050
_cell_length_b 5.050
_cell_length_c 7.141
_cell_angle_alpha 90.00
_cell_angle_beta 90.00
_cell_angle_gamma 90.00
loop_
_atom_site_label
_atom_site_type_symbol
_atom_site_fract_x
_atom_site_fract_y
_atom_site_fract_z
Dy1 Dy 0.000 0.000 0.000
Ho1 Ho 0.500 0.500 0.500
Cd1 Cd 0.000 0.000 0.500
Cd2 Cd 0.000 0.500 0.251
Cd3 Cd 0.500 0.500 0.000
```



Material: DyHoCd6
Method: DFT, PBE
State: relaxed

energy of formation from the pure elements	-0.287	eV/atom
offset from the most stable computed form	0.0000	eV/atom

```
data_DyHoCd6
_symmetry_space_group_name_H-M 'P -6 m 2'
_symmetry_Int_Tables_number 187
_symmetry_space_group_name_Hall 'P -6 2'
_cell_length_a 6.5729
_cell_length_b 6.5729
_cell_length_c 4.9706
_cell_angle_alpha 90.00
_cell_angle_beta 90.00
_cell_angle_gamma 120.00
loop_
_atom_site_label
_atom_site_type_symbol
_atom_site_fract_x
_atom_site_fract_y
_atom_site_fract_z
Dy1 Dy 0.0000 0.0000 0.0000
Ho1 Ho 0.3333 0.6667 0.5000
Cd1 Cd 0.3417 0.1708 0.5000
Cd2 Cd 0.5037 0.0074 0.0000
```



E_tot / eV per atom: -3.07 -2.10 -2.09 -2.11